# 1
DFT (GGA-PBE) results for an optimized crystal structure of Rb3TmSb2O8.

a b c (Å): 6.192 6.192 8.087
angles (deg): 90.00 90.00 120.00
Fractional coordinates of all 14 atoms:
Rb (0.333, 0.667, 0.686)
Rb (0.667, 0.333, 0.314)
Rb (0.000, 0.000, 0.000)
Tm (0.000, 0.000, 0.500)
Sb (0.333, 0.667, 0.246)
Sb (0.667, 0.333, 0.754)
O (0.333, 0.667, 0.015)
O (0.667, 0.333, 0.985)
O (0.168, 0.832, 0.337)
O (0.832, 0.168, 0.663)
O (0.168, 0.336, 0.337)
O (0.832, 0.664, 0.663)
O (0.664, 0.832, 0.337)
O (0.336, 0.168, 0.663)

Properties
energy relative to the elements, uncorrected = -1889 meV per atom
space group = P-3m1, No. 164
electronic total energy = -5.84 eV/atom



# 2
DFT (GGA-PBE) results for an optimized crystal structure of Rb3Tm3SbO8.

a b c (Å): 6.818 6.819 7.715
angles (deg): 116.24 89.99 120.00
Fractional coordinates of all 15 atoms:
Rb (0.000, 0.000, 0.000)
Rb (0.000, 0.500, 0.000)
Rb (0.500, 0.500, 0.000)
Tm (0.500, 0.000, 0.500)
Tm (0.500, 0.500, 0.500)
Tm (0.000, 0.500, 0.500)
Sb (0.000, 0.000, 0.500)
O (0.278, 0.556, 0.334)
O (0.722, 0.444, 0.666)
O (0.785, 0.570, 0.334)
O (0.215, 0.430, 0.666)
O (0.785, 0.049, 0.334)
O (0.215, 0.951, 0.666)
O (0.264, 0.049, 0.334)
O (0.736, 0.951, 0.666)

Properties
energy relative to the elements, uncorrected = -2484 meV per atom
space group = R-3m, No. 166
electronic total energy = -6.49 eV/atom



# 3
DFT (GGA-PBE) results for an optimized crystal structure of Rb2TmSb2O6.

a b c (Å): 6.280 6.015 7.447
angles (deg): 110.90 90.00 121.46
Fractional coordinates of all 11 atoms:
Rb (0.704, 0.408, 0.158)
Rb (0.296, 0.592, 0.842)
Tm (0.500, 0.000, 0.500)
Sb (0.926, 0.853, 0.763)
Sb (0.074, 0.147, 0.237)
O (0.732, 0.465, 0.560)
O (0.216, 0.939, 0.269)
O (0.276, 0.061, 0.731)
O (0.784, 0.061, 0.731)
O (0.724, 0.939, 0.269)
O (0.268, 0.535, 0.440)

Properties
energy relative to the elements, uncorrected = -1856 meV per atom
space group = C2/m, No. 12
electronic total energy = -5.89 eV/atom



# 4
DFT (GGA-PBE) results for an optimized crystal structure of Rb3TmSb2O9.

a b c (Å): 5.932 5.932 7.298
angles (deg): 90.00 90.00 120.00
Fractional coordinates of all 15 atoms:
Rb (0.333, 0.667, 0.664)
Rb (0.000, 0.000, 0.000)
Rb (0.667, 0.333, 0.336)
Tm (0.000, 0.000, 0.500)
Sb (0.333, 0.667, 0.162)
Sb (0.667, 0.333, 0.838)
O (0.825, 0.175, 0.682)
O (0.825, 0.650, 0.682)
O (0.350, 0.175, 0.682)
O (0.650, 0.825, 0.318)
O (0.175, 0.350, 0.318)
O (0.175, 0.825, 0.318)
O (0.500, 0.000, 0.000)
O (0.000, 0.500, 0.000)
O (0.500, 0.500, 0.000)

Properties
energy relative to the elements, uncorrected = -1672 meV per atom
space group = P-3m1, No. 164
electronic total energy = -5.69 eV/atom



# 5
DFT (GGA-PBE) results for an optimized crystal structure of Rb2USb3O12.

a b c (Å): 7.674 7.674 7.674
angles (deg): 57.45 57.45 57.45
Fractional coordinates of all 18 atoms:
Rb (0.612, 0.612, 0.612)
Rb (0.388, 0.388, 0.388)
U (0.000, 0.000, 0.000)
Sb (0.500, 0.000, 0.000)
Sb (0.000, 0.500, 0.000)
Sb (0.000, 0.000, 0.500)
O (0.322, 0.322, 0.922)
O (0.934, 0.934, 0.325)
O (0.325, 0.934, 0.934)
O (0.922, 0.322, 0.322)
O (0.934, 0.325, 0.934)
O (0.322, 0.922, 0.322)
O (0.678, 0.678, 0.078)
O (0.066, 0.066, 0.675)
O (0.675, 0.066, 0.066)
O (0.078, 0.678, 0.678)
O (0.066, 0.675, 0.066)
O (0.678, 0.078, 0.678)

Properties
energy relative to the elements, uncorrected = -1829 meV per atom
space group = R-3m, No. 166
electronic total energy = -6.56 eV/atom



# 6
DFT (GGA-PBE) results for an optimized crystal structure of RbUSbO6.

a b c (Å): 7.938 7.398 7.679
angles (deg): 118.80 121.12 90.00
Fractional coordinates of all 18 atoms:
Rb (0.849, 0.599, 0.698)
Rb (0.151, 0.401, 0.302)
U (0.500, 0.000, 0.500)
U (0.000, 0.000, 0.500)
Sb (0.500, 0.500, 0.000)
Sb (0.500, 0.000, 0.000)
O (0.432, 0.682, 0.864)
O (0.818, 0.068, 0.637)
O (0.806, 0.072, 0.250)
O (0.444, 0.678, 0.250)
O (0.444, 0.072, 0.250)
O (0.806, 0.678, 0.250)
O (0.568, 0.318, 0.136)
O (0.182, 0.932, 0.363)
O (0.194, 0.928, 0.750)
O (0.556, 0.322, 0.750)
O (0.556, 0.928, 0.750)
O (0.194, 0.322, 0.750)

Properties
energy relative to the elements, uncorrected = -2299 meV per atom
space group = Imma, No. 74
electronic total energy = -7.42 eV/atom



# 7
DFT (GGA-PBE) results for an optimized crystal structure of RbUSbO5.

a b c (Å): 6.374 6.374 8.076
angles (deg): 98.91 98.91 107.36
Fractional coordinates of all 16 atoms:
Rb (0.338, 0.662, 0.250)
Rb (0.662, 0.338, 0.750)
U (0.000, 0.000, 0.500)
U (0.000, 0.000, 0.000)
Sb (0.679, 0.321, 0.250)
Sb (0.321, 0.679, 0.750)
O (0.066, 0.934, 0.250)
O (0.934, 0.066, 0.750)
O (0.905, 0.295, 0.114)
O (0.095, 0.705, 0.886)
O (0.705, 0.095, 0.386)
O (0.295, 0.905, 0.614)
O (0.820, 0.681, 0.461)
O (0.180, 0.319, 0.539)
O (0.319, 0.180, 0.039)
O (0.681, 0.820, 0.961)

Properties
energy relative to the elements, uncorrected = -2279 meV per atom
space group = C2/c, No. 15
electronic total energy = -7.43 eV/atom



Number 4 is which compound? Rb3TmSb2O9



What is the energy relative to the elements, uncorrected in the fourth record? -1672 meV per atom



Number 2 is which compound? Rb3Tm3SbO8